DFT (GGA-PBE) results for crystalline BaBeMo2 at its relaxed geometry.

The structure belongs to space group Cmmm (No. 65); the cell edges are 5.641, 9.943 and 2.798 Å and the angles 90.00°, 90.00° and 90.00°. The distinct sites, in fractional coordinates, are Ba at (0.000, 0.000, 0.000), Be at (0.000, 0.500, 0.000) and Mo at (0.250, 0.250, 0.500).

The value obtained for the calculated total energy is -21.33 eV per formula unit. The calculation puts the size of the total moment at 0.00 μB per cell. The formation enthalpy at 0 K is 1.49 eV per atom.